w:
# NaLuCoSb

An optimized crystal structure of NaLuCoSb (GGA-PBE, the Open Quantum Materials Database).

a = 4.688 Å, b = 4.688 Å, c = 4.688 Å
α = 60.00°, β = 60.00°, γ = 60.00°
Fractional positions:
Co 0.250 0.250 0.250
Lu 0.500 0.500 0.500
Na 0.750 0.750 0.750
Sb 0.000 0.000 0.000

x:
# NaLuCoSb

An optimized crystal structure of NaLuCoSb (GGA-PBE, the Open Quantum Materials Database).

a = 4.945 Å, b = 4.945 Å, c = 4.945 Å
α = 60.00°, β = 60.00°, γ = 60.00°
Fractional positions:
Co 0.500 0.500 0.500
Lu 0.250 0.250 0.250
Na 0.750 0.750 0.750
Sb 0.000 0.000 0.000

On energetic grounds, w is preferred over the next structure by 0.134 eV/atom.

w:
# NaLuCoSe3

An optimized crystal structure of NaLuCoSe3 (GGA-PBE, the Open Quantum Materials Database).

a = 10.223 Å, b = 7.080 Å, c = 7.080 Å
α = 32.05°, β = 90.00°, γ = 90.00°
Last column: magnetic moment on the atom in μB.
Fractional positions:
Co 0.000 0.487 0.487  1.69
Co 0.500 0.513 0.513  1.69
Lu 0.250 0.000 0.000  0.02
Lu 0.750 0.000 0.000  0.03
Na 0.500 0.245 0.245  0.00
Na 0.000 0.755 0.755  0.00
Se 0.000 0.083 0.083  0.11
Se 0.168 0.368 0.368  0.07
Se 0.832 0.368 0.368  0.07
Se 0.332 0.632 0.632  0.07
Se 0.668 0.632 0.632  0.07
Se 0.500 0.917 0.917  0.11

x:
# NaLuCoSe3

An optimized crystal structure of NaLuCoSe3 (GGA-PBE, the Open Quantum Materials Database).

a = 8.364 Å, b = 3.901 Å, c = 9.110 Å
α = 90.00°, β = 104.66°, γ = 90.00°
Last column: magnetic moment on the atom in μB.
Fractional positions:
Co 0.424 0.750 0.412  1.49
Co 0.576 0.250 0.588  1.49
Lu 0.172 0.250 0.146  0.03
Lu 0.828 0.750 0.854  0.03
Na 0.693 0.250 0.221  0.00
Na 0.307 0.750 0.779  0.00
Se 0.408 0.750 0.145  0.10
Se 0.942 0.750 0.170  0.02
Se 0.292 0.250 0.474  0.10
Se 0.708 0.750 0.526  0.10
Se 0.058 0.250 0.830  0.02
Se 0.592 0.250 0.855  0.10

On energetic grounds, x is preferred over the next structure by 0.050 eV/atom.

w:
# NaLuCoTe3

An optimized crystal structure of NaLuCoTe3 (GGA-PBE, the Open Quantum Materials Database).

a = 7.723 Å, b = 7.723 Å, c = 10.955 Å
α = 90.00°, β = 90.00°, γ = 30.78°
Last column: magnetic moment on the atom in μB.
Fractional positions:
Co 0.477 0.477 0.250  1.76
Co 0.523 0.523 0.750  1.76
Lu 0.000 0.000 0.000  0.03
Lu 0.000 0.000 0.500  0.03
Na 0.760 0.760 0.250  0.00
Na 0.240 0.240 0.750  0.00
Te 0.364 0.364 0.072  0.07
Te 0.083 0.083 0.250  0.08
Te 0.364 0.364 0.428  0.07
Te 0.636 0.636 0.572  0.07
Te 0.917 0.917 0.750  0.08
Te 0.636 0.636 0.928  0.07

x:
# NaLuCoTe3

An optimized crystal structure of NaLuCoTe3 (GGA-PBE, the Open Quantum Materials Database).

a = 9.092 Å, b = 4.122 Å, c = 9.685 Å
α = 90.00°, β = 106.34°, γ = 90.00°
Last column: magnetic moment on the atom in μB.
Fractional positions:
Co 0.076 0.250 0.086  1.40
Co 0.924 0.750 0.914  1.40
Lu 0.327 0.750 0.353  0.03
Lu 0.673 0.250 0.647  0.03
Na 0.805 0.750 0.270  0.00
Na 0.195 0.250 0.730  0.00
Te 0.209 0.750 0.023  0.07
Te 0.557 0.250 0.323  0.01
Te 0.090 0.250 0.357  0.07
Te 0.910 0.750 0.643  0.07
Te 0.443 0.750 0.677  0.01
Te 0.791 0.250 0.977  0.07

On energetic grounds, x is preferred over the next structure by 0.031 eV/atom.